Entry from Alexandria via LeMat-Bulk: a geometry-optimized HoMnSi2Rh structure (PBE-GGA).

Properties
- DOS(E_F): 3.87 states/eV/cell
- Total DFT energy (no corrections): -7.230 eV/atom
- Mass density: 7.79 g cm⁻³

Cell: 3.9849 3.9849 5.8127 Å, 110.05 110.05 90.00°
Site moments in Bohr magnetons follow the coordinates.
Fractional positions:
Ho 0.0000 0.0000 0.0000  0.04
Mn 0.2500 0.7500 0.5000  2.46
Si 0.6178 0.6178 0.2356  -0.04
Si 0.3822 0.3822 0.7644  -0.04
Rh 0.7500 0.2500 0.5000  0.04

Entry from Alexandria via LeMat-Bulk: a geometry-optimized TbHoMnRh structure (PBE-GGA).

Properties
- ΔE_f: -271 meV/atom
- DOS(E_F): 4.91 states/eV/cell
- Total DFT energy (no corrections): -6.703 eV/atom
- Mass density: 9.55 g cm⁻³

Cell: 4.9103 4.9103 4.9103 Å, 60.00 60.00 60.00°
Site moments in Bohr magnetons follow the coordinates.
Fractional positions:
Tb 0.2500 0.2500 0.2500  -0.20
Ho 0.7500 0.7500 0.7500  -0.21
Mn 0.5000 0.5000 0.5000  3.30
Rh 0.0000 0.0000 0.0000  0.19

Entry from Alexandria via LeMat-Bulk: a geometry-optimized HoTmMnRh structure (PBE-GGA).

Properties
- ΔE_f: -315 meV/atom
- DOS(E_F): 4.65 states/eV/cell
- Total DFT energy (no corrections): -6.708 eV/atom
- Mass density: 10.02 g cm⁻³

Cell: 4.8666 4.8666 4.8666 Å, 60.00 60.00 60.00°
Site moments in Bohr magnetons follow the coordinates.
Fractional positions:
Ho 0.2500 0.2500 0.2500  -0.19
Tm 0.7500 0.7500 0.7500  -0.20
Mn 0.5000 0.5000 0.5000  3.28
Rh 0.0000 0.0000 0.0000  0.19

Entry from Alexandria via LeMat-Bulk: a geometry-optimized YHoMnRh structure (PBE-GGA).

Properties
- ΔE_f: -271 meV/atom
- DOS(E_F): 4.83 states/eV/cell
- Total DFT energy (no corrections): -7.162 eV/atom
- Mass density: 8.14 g cm⁻³

Cell: 4.9149 4.9149 4.9149 Å, 60.00 60.00 60.00°
Site moments in Bohr magnetons follow the coordinates.
Fractional positions:
Y 0.2500 0.2500 0.2500  -0.15
Rh 0.0000 0.0000 0.0000  0.21
Mn 0.5000 0.5000 0.5000  3.35
Ho 0.7500 0.7500 0.7500  -0.20

Entry from Alexandria via LeMat-Bulk: a geometry-optimized HoMnRu structure (PBE-GGA).

Properties
- ΔE_f: 339 meV/atom
- DOS(E_F): 12.72 states/eV/cell
- Total DFT energy (no corrections): -7.336 eV/atom
- Mass density: 8.75 g cm⁻³

Cell: 6.5684 6.5684 5.6468 Å, 90.00 90.00 90.00°
Fractional positions:
Ho 0.7341 0.7341 0.0000
Ho 0.2341 0.7659 0.7500
Ho 0.2659 0.2659 0.5000
Ho 0.7659 0.2341 0.2500
Mn 0.4352 0.4352 0.0000
Mn 0.5648 0.5648 0.5000
Mn 0.9352 0.0648 0.7500
Mn 0.0648 0.9352 0.2500
Ru 0.6872 0.3128 0.7500
Ru 0.1872 0.1872 0.0000
Ru 0.3128 0.6872 0.2500
Ru 0.8128 0.8128 0.5000

Entry from Alexandria via LeMat-Bulk: a geometry-optimized HoMnRu structure (PBE-GGA).

Properties
- ΔE_f: -29 meV/atom
- DOS(E_F): 2.76 states/eV/cell
- Total DFT energy (no corrections): -7.704 eV/atom
- Mass density: 9.18 g cm⁻³

Cell: 4.3514 3.9243 3.9243 Å, 120.00 90.00 90.00°
Fractional positions:
Ru 0.1640 0.0000 0.0000
Ho 0.6665 0.6667 0.3333
Mn 0.1695 0.3333 0.6667

Among the records above, which one has the lowest mass density? HoMnSi2Rh

Look up the mass density of the third one. 10.02 g cm⁻³

Repeat the third record exactly.
Entry from Alexandria via LeMat-Bulk: a geometry-optimized HoTmMnRh structure (PBE-GGA).

Properties
- ΔE_f: -315 meV/atom
- DOS(E_F): 4.65 states/eV/cell
- Total DFT energy (no corrections): -6.708 eV/atom
- Mass density: 10.02 g cm⁻³

Cell: 4.8666 4.8666 4.8666 Å, 60.00 60.00 60.00°
Site moments in Bohr magnetons follow the coordinates.
Fractional positions:
Ho 0.2500 0.2500 0.2500  -0.19
Tm 0.7500 0.7500 0.7500  -0.20
Mn 0.5000 0.5000 0.5000  3.28
Rh 0.0000 0.0000 0.0000  0.19

Which formula does entry 5 have? HoMnRu